[1]
An optimized crystal structure of Cd4Hg2Pb5. Source: Alexandria via LeMat-Bulk, functional PBE-GGA.

Cell: 3.388 9.851 10.881 Å, 116.91 98.96 90.00°
Fractional positions:
Cd (0.576, 0.576, 0.152)
Cd (0.000, 0.275, 0.000)
Hg (0.839, 0.839, 0.678)
Pb (0.818, 0.499, 0.635)
Hg (0.161, 0.161, 0.322)
Pb (0.500, 0.000, 0.000)
Cd (0.000, 0.725, 0.000)
Pb (0.182, 0.864, 0.365)
Pb (0.818, 0.136, 0.635)
Cd (0.424, 0.424, 0.848)
Pb (0.182, 0.501, 0.365)

Total energy in eV/atom: -1.988
Formation energy in meV per atom: 86
Symmetry: Immm (71)
DOS(E_F) in states/eV/cell: 4.13

***

[2]
An optimized crystal structure of Pu4ThMg. Source: Alexandria via LeMat-Bulk, functional PBE-GGA.

Cell: 6.112 6.112 6.112 Å, 60.00 60.00 60.00°
Each line ends with the local moment (μB).
Fractional positions:
Pu (0.625, 0.125, 0.625)  5.38
Mg (0.250, 0.250, 0.250)  -0.01
Pu (0.625, 0.625, 0.125)  5.38
Pu (0.125, 0.625, 0.625)  5.38
Pu (0.625, 0.625, 0.625)  5.38
Th (0.000, 0.000, 0.000)  0.09

Total energy in eV/atom: -10.775
Formation energy in meV per atom: 282
Symmetry: F-43m (216)
DOS(E_F) in states/eV/cell: 24.21

***

[3]
An optimized crystal structure of VCd4. Source: Alexandria via LeMat-Bulk, functional PBE-GGA.

Cell: 5.406 5.406 5.406 Å, 90.00 90.00 90.00°
Each line ends with the local moment (μB).
Fractional positions:
Cd (0.000, 0.500, 0.500)  0.07
Cd (0.000, 0.000, 0.000)  0.03
V (0.500, 0.500, 0.500)  2.96
Cd (0.500, 0.000, 0.500)  0.07
Cd (0.500, 0.500, 0.000)  0.07

Total energy in eV/atom: -1.848
Formation energy in meV per atom: 708
Symmetry: Pm-3m (221)
DOS(E_F) in states/eV/cell: 4.19

***

[4]
An optimized crystal structure of V4CuNi15. Source: Alexandria via LeMat-Bulk, functional PBE-GGA.

Cell: 3.556 3.556 17.770 Å, 90.00 90.00 90.00°
Each line ends with the local moment (μB).
Fractional positions:
V (0.000, 0.000, 0.399)  0.74
Ni (0.500, 0.000, 0.500)  0.04
Ni (0.500, 0.500, 0.799)  0.00
Ni (0.500, 0.500, 0.000)  -0.03
Ni (0.500, 0.000, 0.300)  0.01
V (0.000, 0.000, 0.806)  0.07
Ni (0.500, 0.500, 0.600)  0.02
Ni (0.000, 0.500, 0.700)  0.01
V (0.000, 0.000, 0.194)  0.07
V (0.000, 0.000, 0.601)  0.74
Ni (0.500, 0.500, 0.201)  0.00
Ni (0.500, 0.500, 0.400)  0.02
Ni (0.000, 0.500, 0.300)  0.01
Ni (0.000, 0.500, 0.898)  -0.01
Ni (0.500, 0.000, 0.102)  -0.01
Ni (0.000, 0.500, 0.500)  0.04
Ni (0.500, 0.000, 0.700)  0.01
Ni (0.500, 0.000, 0.898)  -0.01
Ni (0.000, 0.500, 0.102)  -0.01
Cu (0.000, 0.000, 0.000)  -0.01

Total energy in eV/atom: -6.534
Formation energy in meV per atom: -169
Symmetry: P4/mmm (123)
DOS(E_F) in states/eV/cell: 13.99

***

[5]
An optimized crystal structure of HfMgZr2. Source: Alexandria via LeMat-Bulk, functional PBE-GGA.

Cell: 3.124 7.713 7.875 Å, 95.80 90.00 101.68°
Fractional positions:
Zr (0.264, 0.529, 0.675)
Hf (0.593, 0.187, 0.544)
Mg (0.348, 0.697, 0.056)
Hf (0.407, 0.813, 0.456)
Zr (0.029, 0.057, 0.206)
Mg (0.652, 0.303, 0.944)
Zr (0.736, 0.471, 0.325)
Zr (0.971, 0.943, 0.794)

Total energy in eV/atom: -7.093
Formation energy in meV per atom: 68
Symmetry: C2/m (12)
DOS(E_F) in states/eV/cell: 7.66

***

[6]
An optimized crystal structure of Dy2TcOs3. Source: Alexandria via LeMat-Bulk, functional PBE-GGA.

Cell: 5.387 5.387 8.687 Å, 90.00 90.00 120.00°
Fractional positions:
Dy (0.333, 0.667, 0.566)
Dy (0.667, 0.333, 0.434)
Tc (0.000, 0.000, 0.500)
Os (0.827, 0.173, 0.750)
Os (0.173, 0.345, 0.250)
Os (0.173, 0.827, 0.250)
Os (0.345, 0.173, 0.750)
Dy (0.333, 0.667, 0.934)
Os (0.655, 0.827, 0.250)
Dy (0.667, 0.333, 0.066)
Os (0.827, 0.655, 0.750)
Tc (0.000, 0.000, 0.000)

Total energy in eV/atom: -9.158
Formation energy in meV per atom: -282
Symmetry: P6_3/mmc (194)
DOS(E_F) in states/eV/cell: 15.20

***

[7]
An optimized crystal structure of AlAgB. Source: Alexandria via LeMat-Bulk, functional PBE-GGA.

Cell: 4.025 4.025 4.025 Å, 60.00 60.00 60.00°
Fractional positions:
Ag (0.500, 0.500, 0.500)
B (0.000, 0.000, 0.000)
Al (0.750, 0.750, 0.750)

Total energy in eV/atom: -3.565
Formation energy in meV per atom: 859
Symmetry: F-43m (216)
DOS(E_F) in states/eV/cell: 2.06

***

[8]
An optimized crystal structure of La6InTc2. Source: Alexandria via LeMat-Bulk, functional PBE-GGA.

Cell: 8.900 8.900 8.900 Å, 104.91 111.20 112.40°
Fractional positions:
La (0.314, 0.643, 0.329)
Tc (0.500, 0.386, 0.886)
La (0.686, 0.357, 0.671)
La (0.686, 0.014, 0.329)
La (0.793, 0.236, 0.029)
La (0.527, 0.715, 0.812)
La (0.097, 0.285, 0.812)
Tc (0.500, 0.614, 0.114)
In (0.000, 0.500, 0.500)
La (0.314, 0.986, 0.671)
Tc (0.678, 0.000, 0.678)
In (0.000, 0.000, 0.000)
La (0.793, 0.764, 0.557)
La (0.207, 0.236, 0.443)
La (0.903, 0.715, 0.188)
Tc (0.322, 0.000, 0.322)
La (0.473, 0.285, 0.188)
La (0.207, 0.764, 0.971)

Total energy in eV/atom: -6.045
Formation energy in meV per atom: -153
Symmetry: Immm (71)
DOS(E_F) in states/eV/cell: 17.33